# GGA-PBE Mg2BiBr, relaxed
data_Mg2BiBr
_space_group_name_H-M_alt 'P -1'
_space_group_IT_number 2
_cell_length_a 4.669
_cell_length_b 6.917
_cell_length_c 8.966
_cell_angle_alpha 89.15
_cell_angle_beta 87.16
_cell_angle_gamma 89.99
loop_
_space_group_symop_operation_xyz
'x,y,z'
'-x,-y,-z'
loop_
_atom_site_label
_atom_site_type_symbol
_atom_site_fract_x
_atom_site_fract_y
_atom_site_fract_z
Mg1 Mg 0.237 0.010 0.143
Mg2 Mg 0.237 0.485 0.143
Bi1 Bi 0.263 0.252 0.862
Br1 Br 0.216 0.244 0.361
# - Theoretical density: 3.88 g/cm³
# - Spin magnetization: 0.00 μB/cell
# - Total DFT energy (no corrections): -11.3 eV/f.u.
# - Formation energy from raw total energies: -638 meV/atom

---

# GGA-PBE SrTaSi2, relaxed
data_SrTaSi2
_space_group_name_H-M_alt 'C 1 m 1'
_space_group_IT_number 8
_cell_length_a 8.653
_cell_length_b 3.513
_cell_length_c 7.103
_cell_angle_alpha 90.00
_cell_angle_beta 119.19
_cell_angle_gamma 90.00
loop_
_space_group_symop_operation_xyz
'x,y,z'
'x,-y,z'
'x+1/2,y+1/2,z'
'x+1/2,-y+1/2,z'
loop_
_atom_site_label
_atom_site_type_symbol
_atom_site_fract_x
_atom_site_fract_y
_atom_site_fract_z
Sr1 Sr 0.000 0.000 0.000
Ta1 Ta 0.215 0.000 0.539
Si1 Si 0.056 0.500 0.656
Si2 Si 0.373 0.500 0.406
# - Theoretical density: 5.72 g/cm³
# - Spin magnetization: 0.00 μB/cell
# - Total DFT energy (no corrections): -24.5 eV/f.u.
# - Formation energy from raw total energies: -42 meV/atom

---

# GGA-PBE Pr2Ga7Cu, relaxed
data_Pr2Ga7Cu
_space_group_name_H-M_alt 'P -4 m 2'
_space_group_IT_number 115
_cell_length_a 4.320
_cell_length_b 4.320
_cell_length_c 10.583
_cell_angle_alpha 90.00
_cell_angle_beta 90.00
_cell_angle_gamma 90.00
loop_
_space_group_symop_operation_xyz
'x,y,z'
'y,-x,-z'
'-x,-y,z'
'-y,x,-z'
'-x,y,z'
'-y,-x,-z'
'x,-y,z'
'y,x,-z'
loop_
_atom_site_label
_atom_site_type_symbol
_atom_site_fract_x
_atom_site_fract_y
_atom_site_fract_z
Pr1 Pr 0.000 0.500 0.244
Ga1 Ga 0.000 0.000 0.000
Ga2 Ga 0.000 0.000 0.500
Ga3 Ga 0.000 0.500 0.639
Ga4 Ga 0.000 0.500 0.874
Ga5 Ga 0.500 0.500 0.500
Cu1 Cu 0.500 0.500 0.000
# - Theoretical density: 7.01 g/cm³
# - Spin magnetization: 0.00 μB/cell
# - Total DFT energy (no corrections): -39.5 eV/f.u.
# - Calculated formation energy: -45.1 kJ per mole of atoms

---

# GGA-PBE MgRuAu, relaxed
data_MgRuAu
_space_group_name_H-M_alt 'P 3 m 1'
_space_group_IT_number 156
_cell_length_a 4.5712
_cell_length_b 4.5712
_cell_length_c 2.7111
_cell_angle_alpha 90.00
_cell_angle_beta 90.00
_cell_angle_gamma 120.00
loop_
_space_group_symop_operation_xyz
'x,y,z'
'-y,x-y,z'
'-x+y,-x,z'
'-y,-x,z'
'-x+y,y,z'
'x,x-y,z'
loop_
_atom_site_label
_atom_site_type_symbol
_atom_site_fract_x
_atom_site_fract_y
_atom_site_fract_z
Mg1 Mg 0.0000 0.0000 0.0000
Ru1 Ru 0.6667 0.3333 0.3713
Au1 Au 0.3333 0.6667 0.8135
# - Theoretical density: 10.91 g/cm³
# - Spin magnetization: 0.00 μB/cell
# - Total DFT energy (no corrections): -13.7 eV/f.u.
# - Calculated formation energy: 13.5 kJ per mole of atoms

---

# GGA-PBE SrTeOs2, relaxed
data_SrTeOs2
_space_group_name_H-M_alt 'P 1 m 1'
_space_group_IT_number 6
_cell_length_a 4.115
_cell_length_b 3.895
_cell_length_c 6.570
_cell_angle_alpha 90.00
_cell_angle_beta 105.49
_cell_angle_gamma 90.00
loop_
_space_group_symop_operation_xyz
'x,y,z'
'x,-y,z'
loop_
_atom_site_label
_atom_site_type_symbol
_atom_site_fract_x
_atom_site_fract_y
_atom_site_fract_z
Sr1 Sr 0.000 0.000 0.000
Te1 Te 0.359 0.500 0.685
Os1 Os 0.553 0.000 0.431
Os2 Os 0.834 0.500 0.363
# - Theoretical density: 9.75 g/cm³
# - Spin magnetization: 0.00 μB/cell
# - Total DFT energy (no corrections): -26.0 eV/f.u.
# - Formation energy from raw total energies: 316 meV/atom

---

# GGA-PBE CsSrBi, relaxed
data_CsSrBi
_space_group_name_H-M_alt 'P m m 2'
_space_group_IT_number 25
_cell_length_a 5.899
_cell_length_b 9.163
_cell_length_c 5.899
_cell_angle_alpha 90.00
_cell_angle_beta 90.00
_cell_angle_gamma 90.00
loop_
_space_group_symop_operation_xyz
'x,y,z'
'-x,-y,z'
'-x,y,z'
'x,-y,z'
loop_
_atom_site_label
_atom_site_type_symbol
_atom_site_fract_x
_atom_site_fract_y
_atom_site_fract_z
Cs1 Cs 0.000 0.000 0.000
Cs2 Cs 0.500 0.000 0.498
Sr1 Sr 0.000 0.500 0.997
Sr2 Sr 0.500 0.500 0.497
Bi1 Bi 0.500 0.289 0.997
# - Theoretical density: 4.47 g/cm³
# - Spin magnetization: 0.00 μB/cell
# - Total DFT energy (no corrections): -7.8 eV/f.u.
# - Calculated formation energy: -43.5 kJ per mole of atoms

---

# GGA-PBE ThZrZnAg, relaxed
data_ThZrZnAg
_space_group_name_H-M_alt 'F -4 3 m'
_space_group_IT_number 216
_space_group_name_Hall 'F -4 2 3'
_cell_length_a 7.149
_cell_length_b 7.149
_cell_length_c 7.149
_cell_angle_alpha 90.00
_cell_angle_beta 90.00
_cell_angle_gamma 90.00
loop_
_atom_site_label
_atom_site_type_symbol
_atom_site_fract_x
_atom_site_fract_y
_atom_site_fract_z
Th1 Th 0.000 0.000 0.000
Zr1 Zr 0.000 0.000 0.500
Zn1 Zn 0.250 0.250 0.750
Ag1 Ag 0.250 0.250 0.250
# - Theoretical density: 9.03 g/cm³
# - Spin magnetization: 0.00 μB/cell
# - Total DFT energy (no corrections): -20.2 eV/f.u.
# - Calculated formation energy: -2.5 kJ per mole of atoms

---

# GGA-PBE ScMo2Rh, relaxed
data_ScMo2Rh
_space_group_name_H-M_alt 'C m m m'
_space_group_IT_number 65
_space_group_name_Hall '-C 2 2'
_cell_length_a 5.184
_cell_length_b 9.109
_cell_length_c 2.788
_cell_angle_alpha 90.00
_cell_angle_beta 90.00
_cell_angle_gamma 90.00
loop_
_atom_site_label
_atom_site_type_symbol
_atom_site_fract_x
_atom_site_fract_y
_atom_site_fract_z
Sc1 Sc 0.000 0.000 0.000
Mo1 Mo 0.250 0.250 0.500
Rh1 Rh 0.000 0.500 0.000
# - Theoretical density: 8.57 g/cm³
# - Spin magnetization: 0.00 μB/cell
# - Total DFT energy (no corrections): -35.3 eV/f.u.
# - Calculated formation energy: 1.5 kJ per mole of atoms

---

# GGA-PBE SiMo2Au, relaxed
data_SiMo2Au
_space_group_name_H-M_alt 'I -4 m 2'
_space_group_IT_number 119
_space_group_name_Hall 'I -4 -2'
_cell_length_a 3.962
_cell_length_b 3.962
_cell_length_c 7.935
_cell_angle_alpha 90.00
_cell_angle_beta 90.00
_cell_angle_gamma 90.00
loop_
_atom_site_label
_atom_site_type_symbol
_atom_site_fract_x
_atom_site_fract_y
_atom_site_fract_z
Si1 Si 0.000 0.000 0.000
Mo1 Mo 0.000 0.000 0.500
Mo2 Mo 0.000 0.500 0.250
Au1 Au 0.000 0.500 0.750
# - Theoretical density: 11.12 g/cm³
# - Spin magnetization: 0.00 μB/cell
# - Total DFT energy (no corrections): -29.7 eV/f.u.
# - Formation energy from raw total energies: 166 meV/atom

---

# GGA-PBE CsNaHg2, relaxed
data_CsNaHg2
_space_group_name_H-M_alt 'R 3 m'
_space_group_IT_number 160
_space_group_name_Hall 'R 3 -2"'
_cell_length_a 5.3507
_cell_length_b 5.3507
_cell_length_c 20.2728
_cell_angle_alpha 90.00
_cell_angle_beta 90.00
_cell_angle_gamma 120.00
loop_
_atom_site_label
_atom_site_type_symbol
_atom_site_fract_x
_atom_site_fract_y
_atom_site_fract_z
Cs1 Cs 0.0000 0.0000 0.0000
Na1 Na 0.0000 0.0000 0.1843
Hg1 Hg 0.0000 0.0000 0.4686
Hg2 Hg 0.0000 0.0000 0.8000
# - Theoretical density: 5.52 g/cm³
# - Spin magnetization: 0.00 μB/cell
# - Total DFT energy (no corrections): -3.7 eV/f.u.
# - Calculated formation energy: -21.3 kJ per mole of atoms

---

# GGA-PBE Na2LaBiP, relaxed
data_Na2LaBiP
_space_group_name_H-M_alt 'P 4/m m m'
_space_group_IT_number 123
_space_group_name_Hall '-P 4 2'
_cell_length_a 7.131
_cell_length_b 7.131
_cell_length_c 5.974
_cell_angle_alpha 90.00
_cell_angle_beta 90.00
_cell_angle_gamma 90.00
loop_
_atom_site_label
_atom_site_type_symbol
_atom_site_fract_x
_atom_site_fract_y
_atom_site_fract_z
Na1 Na 0.000 0.500 0.000
La1 La 0.000 0.000 0.000
Bi1 Bi 0.000 0.000 0.500
P1 P 0.500 0.500 0.500
# - Theoretical density: 2.32 g/cm³
# - Spin magnetization: 2.70 μB/cell
# - Total DFT energy (no corrections): -11.7 eV/f.u.
# - Calculated formation energy: 99.3 kJ per mole of atoms

---

# GGA-PBE ScPdW2, relaxed
data_ScPdW2
_space_group_name_H-M_alt 'F m -3 m'
_space_group_IT_number 225
_space_group_name_Hall '-F 4 2 3'
_cell_length_a 6.432
_cell_length_b 6.432
_cell_length_c 6.432
_cell_angle_alpha 90.00
_cell_angle_beta 90.00
_cell_angle_gamma 90.00
loop_
_atom_site_label
_atom_site_type_symbol
_atom_site_fract_x
_atom_site_fract_y
_atom_site_fract_z
Sc1 Sc 0.000 0.000 0.000
Pd1 Pd 0.000 0.000 0.500
W1 W 0.250 0.250 0.250
# - Theoretical density: 12.96 g/cm³
# - Spin magnetization: 0.00 μB/cell
# - Total DFT energy (no corrections): -35.1 eV/f.u.
# - Calculated formation energy: 55.4 kJ per mole of atoms